Entry 1:
Below is Th5Sb4Pb after structural relaxation, with properties calculated at the PBE-GGA level.

a = 4.523 Å, b = 4.523 Å, c = 31.965 Å
α = 90.00°, β = 90.00°, γ = 90.00°
Space group I4/mmm (No. 139)
One atom of each set of equivalent atoms:
Th1 0.000 0.000 0.000
Th2 0.000 0.000 0.200
Th3 0.000 0.000 0.399
Sb1 0.000 0.000 0.100
Sb2 0.000 0.000 0.300
Pb1 0.000 0.000 0.500

Output
Formation energy without anion corrections in meV per atom: -777
Fermi-level density of states in states/eV/cell: 12.13
Theoretical density in Mg/m³: 9.42

Entry 2:
Below is SmEr3Te4 after structural relaxation, with properties calculated at the PBE-GGA level.

a = 8.843 Å, b = 12.309 Å, c = 4.279 Å
α = 90.00°, β = 90.00°, γ = 90.00°
Space group Cmmm (No. 65)
One atom of each set of equivalent atoms:
Sm1 0.000 0.000 0.000
Er1 0.000 0.500 0.000
Er2 0.250 0.250 0.500
Te1 0.000 0.254 0.000
Te2 0.243 0.500 0.500

Output
Formation energy without anion corrections in meV per atom: -1252
E above lowest polymorph in eV per atom: 0.000
Fermi-level density of states in states/eV/cell: 9.40
Theoretical density in Mg/m³: 8.29

Entry 3:
Below is Pa2Co4As3P after structural relaxation, with properties calculated at the PBE-GGA level.

a = 4.117 Å, b = 4.117 Å, c = 9.051 Å
α = 90.00°, β = 90.00°, γ = 90.00°
Space group P-4m2 (No. 115)
One atom of each set of equivalent atoms:
Pa1 0.000 0.500 0.249
Co1 0.000 0.000 0.500
Co2 0.000 0.500 0.892
Co3 0.500 0.500 0.500
As1 0.000 0.000 0.000
As2 0.000 0.500 0.636
P1 0.500 0.500 0.000

Output
Fermi-level density of states in states/eV/cell: 5.55
Theoretical density in Mg/m³: 10.32
Energy relative to the elements in eV per atom: -0.7644

Entry 4:
Below is Li2SiSb after structural relaxation, with properties calculated at the PBE-GGA level.

a = 6.843 Å, b = 6.843 Å, c = 6.843 Å
α = 90.00°, β = 90.00°, γ = 90.00°
Space group F-43m (No. 216)
One atom of each set of equivalent atoms:
Li1 0.000 0.000 0.000
Li2 0.250 0.250 0.250
Si1 0.250 0.250 0.750
Sb1 0.000 0.000 0.500

Output
Formation energy without anion corrections in meV per atom: -9
E above lowest polymorph in eV per atom: 0.211
Fermi-level density of states in states/eV/cell: 4.35
Theoretical density in Mg/m³: 3.39

Entry 5:
Below is Pu2HIr after structural relaxation, with properties calculated at the PBE-GGA level.

a = 2.9430 Å, b = 2.9430 Å, c = 24.9377 Å
α = 90.00°, β = 90.00°, γ = 120.00°
Space group R-3m (No. 166, hexagonal axes)
One atom of each set of equivalent atoms:
Pu1 0.0000 0.0000 0.2348
H1 0.0000 0.0000 0.5000
Ir1 0.0000 0.0000 0.0000

Output
E above lowest polymorph in eV per atom: 0.190
Fermi-level density of states in states/eV/cell: 26.12
Theoretical density in Mg/m³: 18.14

Entry 6:
Below is NdHf2 after structural relaxation, with properties calculated at the PBE-GGA level.

a = 3.224 Å, b = 3.224 Å, c = 15.165 Å
α = 90.00°, β = 90.00°, γ = 90.00°
Space group I4/mmm (No. 139)
One atom of each set of equivalent atoms:
Nd1 0.000 0.000 0.000
Hf1 0.000 0.000 0.317

Output
E above lowest polymorph in eV per atom: 0.000
Fermi-level density of states in states/eV/cell: 5.55
Theoretical density in Mg/m³: 10.56
Energy relative to the elements in eV per atom: 0.1437

Entry 7:
Below is Tb3PmTh2S6 after structural relaxation, with properties calculated at the PBE-GGA level.

a = 6.861 Å, b = 11.843 Å, c = 6.983 Å
α = 90.00°, β = 109.06°, γ = 90.00°
Space group C2/m (No. 12)
One atom of each set of equivalent atoms:
Tb1 0.000 0.000 0.000
Tb2 0.000 0.335 0.000
Pm1 0.000 0.500 0.500
Th1 0.000 0.167 0.500
S1 0.246 0.167 0.237
S2 0.247 0.500 0.240

Output
Formation energy without anion corrections in meV per atom: -1945
Fermi-level density of states in states/eV/cell: 12.52
Theoretical density in Mg/m³: 7.92

Entry 8:
Below is Pm2Pr2Se5 after structural relaxation, with properties calculated at the PBE-GGA level.

a = 15.033 Å, b = 7.929 Å, c = 7.915 Å
α = 90.00°, β = 90.00°, γ = 90.00°
Space group Cmce (No. 64)
One atom of each set of equivalent atoms:
Pm1 0.000 0.151 0.157
Pr1 0.197 0.000 0.500
Se1 0.000 0.000 0.500
Se2 0.138 0.158 0.846

Output
Formation energy without anion corrections in meV per atom: -1805
Fermi-level density of states in states/eV/cell: 27.31
Theoretical density in Mg/m³: 6.80